Density functional theory data (PBE) for a relaxed CaMnTe crystal.

Results
Calculated volume in Å³ per cell: 383
VASP energy in eV/cell: -56.16
D(E_F) in states/eV/f.u.: 2.42
E above lowest polymorph in meV/atom: 464
ΔE_f (raw) in eV/atom: 0.091

Lattice parameters (Å, degrees): 7.260 7.260 7.260 90.00 90.00 90.00
Space group F-43m (No. 216)
Unique sites:
Ca  0.000  0.000  0.000 [4 per cell]
Mn  0.250  0.250  0.750 [4 per cell]
Te  0.250  0.250  0.250 [4 per cell]